# ZnCoTe4 | the Alexandria database | meta-GGA SCAN | single point on PBEsol structure
data_ZnCoTe4
_chemical_formula_sum 'Zn4 Co4 Te16'
_cell_length_a 8.756
_cell_length_b 8.756
_cell_length_c 8.756
_cell_angle_alpha 90.00
_cell_angle_beta 90.00
_cell_angle_gamma 90.00
_space_group_name_H-M_alt 'F -4 3 m'
_space_group_IT_number 216
_space_group_name_Hall 'F -4 2 3'
loop_
_atom_site_label
_atom_site_fract_x
_atom_site_fract_y
_atom_site_fract_z
Zn1 0.000 0.000 0.000
Co1 0.250 0.250 0.750
Te1 0.124 0.124 0.376
# E_form (uncorrected) in kJ per mole of atoms: 80.9